The following is a DFT calculation (PBE) of a geometry-optimized Tb4Ta structure.

Summary:
Symmetry: Pm-3m (221)
Formation energy: 0.5810 eV per atom

a b c (Å): 5.536 5.536 5.536
angles (deg): 90.00 90.00 90.00
Positions (direct):
Tb  0.000  0.000  0.000
Tb  0.500  0.000  0.500
Tb  0.000  0.500  0.500
Tb  0.500  0.500  0.000
Ta  0.500  0.500  0.500


The following is a DFT calculation (PBE) of a geometry-optimized Sr8HgIr2 structure.

Summary:
Symmetry: P-3 (147)
Formation energy: 0.0029 eV per atom

a b c (Å): 6.181 9.775 9.774
angles (deg): 120.01 90.00 90.00
Positions (direct):
Sr  0.247  0.667  0.333
Sr  0.753  0.333  0.667
Sr  0.746  0.830  0.168
Sr  0.254  0.168  0.338
Sr  0.254  0.662  0.830
Sr  0.254  0.170  0.832
Sr  0.746  0.832  0.662
Sr  0.746  0.338  0.170
Hg  0.000  0.000  0.000
Ir  0.250  0.333  0.667
Ir  0.750  0.667  0.333


The following is a DFT calculation (PBE) of a geometry-optimized Tb2Si3 structure.

Summary:
Symmetry: P-6m2 (187)
ΔE_f (raw): -44 kJ per mole of atoms

a b c (Å): 3.967 3.967 8.018
angles (deg): 90.00 90.00 120.00
Positions (direct):
Tb  0.000  0.000  0.248
Tb  0.000  0.000  0.752
Si  0.333  0.667  0.500
Si  0.667  0.333  0.000
Si  0.667  0.333  0.500


The following is a DFT calculation (PBE) of a geometry-optimized Si2P3Pb2 structure.

Summary:
Symmetry: Pbam (55)
ΔE_f (raw): 20 kJ per mole of atoms

a b c (Å): 3.737 7.153 12.023
angles (deg): 90.00 90.00 90.00
Positions (direct):
Pb  0.000  0.397  0.870
Pb  0.000  0.603  0.130
Pb  0.000  0.103  0.370
Pb  0.000  0.897  0.630
P  0.500  0.176  0.736
P  0.500  0.824  0.264
P  0.500  0.324  0.236
P  0.500  0.676  0.764
P  0.000  0.000  0.000
P  0.000  0.500  0.500
Si  0.500  0.948  0.872
Si  0.500  0.052  0.128
Si  0.500  0.552  0.372
Si  0.500  0.448  0.628